The following is a DFT calculation (PBE) of a geometry-optimized PrTl2Hg structure.

* calculated total energy: -2.6086 eV/atom
* density of states at the Fermi level: 0.83 states/eV per atom

Cell lengths 3.9493, 3.9493, 7.3042 Å; angles 90.00, 90.00, 90.00 degrees
Element x y z (fractional)
Tl  0.0000  0.0000  0.2295
Pr  0.5000  0.5000  0.5000
Hg  0.5000  0.5000  0.0000
Tl  0.0000  0.0000  0.7705


The following is a DFT calculation (PBE) of a geometry-optimized Pr2TlHg4 structure.

* calculated total energy: -2.1922 eV/atom
* ΔE to the lowest computed polymorph: 0.000 eV/atom
* density of states at the Fermi level: 0.55 states/eV per atom

Cell lengths 5.3797, 5.3797, 8.2811 Å; angles 71.05, 71.05, 60.00 degrees
Element x y z (fractional)
Tl  0.0000  0.0000  0.0000
Hg  0.8652  0.8652  0.4045
Pr  0.7264  0.7264  0.8208
Hg  0.5731  0.5731  0.2808
Hg  0.4269  0.4269  0.7192
Hg  0.1348  0.1348  0.5955
Pr  0.2736  0.2736  0.1792


The following is a DFT calculation (PBE) of a geometry-optimized Pr6TlHg2 structure.

* calculated total energy: -3.7950 eV/atom
* ΔE to the lowest computed polymorph: 0.000 eV/atom
* density of states at the Fermi level: 1.40 states/eV per atom

Cell lengths 5.3996, 7.0998, 8.5456 Å; angles 83.10, 71.58, 67.65 degrees
Element x y z (fractional)
Pr  0.0173  0.8028  0.1626
Pr  0.6559  0.1882  0.5000
Pr  0.3441  0.8118  0.5000
Hg  0.6641  0.5000  0.1718
Tl  0.0000  0.5000  0.5000
Hg  0.3359  0.5000  0.8282
Pr  0.6799  0.8029  0.8374
Pr  0.3201  0.1971  0.1626
Pr  0.9827  0.1972  0.8374


The following is a DFT calculation (PBE) of a geometry-optimized Pr3Tl2Hg structure.

* calculated total energy: -3.5883 eV/atom
* ΔE to the lowest computed polymorph: 0.058 eV/atom
* density of states at the Fermi level: 0.83 states/eV per atom

Cell lengths 6.6691, 6.7700, 8.8584 Å; angles 102.86, 112.11, 90.00 degrees
Element x y z (fractional)
Hg  0.8733  0.7500  0.0000
Tl  0.5464  0.5505  0.3282
Tl  0.2182  0.9495  0.6718
Pr  0.2777  0.0884  0.3347
Pr  0.3693  0.7500  0.0000
Hg  0.1267  0.2500  0.0000
Pr  0.6307  0.2500  0.0000
Tl  0.7818  0.0505  0.3282
Pr  0.0570  0.5884  0.3347
Pr  0.7223  0.9116  0.6653
Pr  0.9430  0.4116  0.6653
Tl  0.4536  0.4495  0.6718


The following is a DFT calculation (PBE) of a geometry-optimized Pr3TlHg structure.

* calculated total energy: -3.7197 eV/atom
* density of states at the Fermi level: 1.35 states/eV per atom

Cell lengths 5.4819, 5.4778, 10.7192 Å; angles 90.00, 75.18, 90.00 degrees
Element x y z (fractional)
Pr  0.5718  0.2500  0.5047
Tl  0.4777  0.7500  0.6929
Pr  0.2675  0.7500  0.1133
Pr  0.3808  0.2500  0.8867
Hg  0.9750  0.2500  0.6983
Pr  0.8876  0.7500  0.8732
Tl  0.1706  0.2500  0.3071
Hg  0.6734  0.7500  0.3017
Pr  0.7608  0.2500  0.1268
Pr  0.0765  0.7500  0.4953


The following is a DFT calculation (PBE) of a geometry-optimized Pr4TlHg2 structure.

* calculated total energy: -3.4643 eV/atom
* density of states at the Fermi level: 1.20 states/eV per atom

Cell lengths 6.6546, 6.6546, 6.6546 Å; angles 109.70, 109.36, 109.36 degrees
Site moments in Bohr magnetons follow the coordinates.
Element x y z (fractional)
Pr  0.0000  0.5000  0.0000  0.10
Hg  0.5000  0.5000  0.0000  0.01
Pr  0.0000  0.0000  0.5000  0.10
Pr  0.5000  0.0000  0.0000  0.10
Pr  0.5000  0.5000  0.5000  0.10
Tl  0.0000  0.0000  0.0000  -0.01
Hg  0.5000  0.0000  0.5000  0.01


The following is a DFT calculation (PBE) of a geometry-optimized Pr5TlHg6 structure.

* calculated total energy: -2.7703 eV/atom
* density of states at the Fermi level: 1.00 states/eV per atom

Cell lengths 5.3111, 7.8785, 9.4934 Å; angles 114.51, 106.24, 90.01 degrees
Element x y z (fractional)
Pr  0.6395  0.1395  0.2789
Hg  0.1719  0.9073  0.3438
Hg  0.5000  0.2812  0.0000
Hg  0.5000  0.7188  0.0000
Tl  0.0000  0.0000  0.0000
Pr  0.0000  0.5000  0.0000
Pr  0.3194  0.3194  0.6389
Pr  0.3605  0.8605  0.7211
Hg  0.8281  0.0927  0.6562
Hg  0.1719  0.4366  0.3438
Pr  0.6806  0.6806  0.3611
Hg  0.8281  0.5634  0.6562


The following is a DFT calculation (PBE) of a geometry-optimized Pr2TlHg8 structure.

* calculated total energy: -1.5423 eV/atom
* density of states at the Fermi level: 0.60 states/eV per atom

Cell lengths 4.9687, 7.1816, 9.2243 Å; angles 109.61, 105.62, 90.00 degrees
Element x y z (fractional)
Pr  0.2088  0.6916  0.4176
Hg  0.8393  0.8180  0.6786
Hg  0.6214  0.4194  0.2429
Hg  0.6474  0.8780  0.2947
Pr  0.7912  0.3084  0.5824
Tl  0.5000  0.0000  0.0000
Hg  0.0196  0.7173  0.0391
Hg  0.3526  0.1220  0.7053
Hg  0.3786  0.5806  0.7571
Hg  0.9804  0.2827  0.9609
Hg  0.1607  0.1820  0.3214


Number 1: energy relative to the elements -0.155 eV per atom. Number 2: energy relative to the elements -0.316 eV per atom. Number 3: energy relative to the elements -0.279 eV per atom. Number 4: energy relative to the elements -0.360 eV per atom. Number 5: energy relative to the elements -0.318 eV per atom. Number 6: energy relative to the elements -0.309 eV per atom. Number 7: energy relative to the elements -0.431 eV per atom. Number 8: energy relative to the elements -0.239 eV per atom.